Record 1
An optimized crystal structure of AgPtAu. Source: Alexandria, functional GGA-PBEsol.

abc: 2.803 2.803 6.422
angles: 102.61 102.61 90.00
Atoms (fractional coordinates):
Au1 0.669 0.669 0.337
Pt1 0.334 0.334 0.668
Ag1 0.998 0.998 0.995

Electronic total energy in eV/atom: -4.72
V in Å³/atom: 16.00
Space group: I4mm, No. 107



Record 2
An optimized crystal structure of AgPtAu2. Source: Alexandria, functional GGA-PBEsol.

abc: 2.811 2.811 8.214
angles: 90.00 90.00 90.00
Atoms (fractional coordinates):
Ag1 0.500 0.500 0.500
Au1 0.000 0.000 0.246
Au2 0.000 0.000 0.754
Pt1 0.500 0.500 0.000

Electronic total energy in eV/atom: -4.53
V in Å³/atom: 16.23
Space group: P4/mmm, No. 123



Record 3
An optimized crystal structure of AgPtAu2. Source: Alexandria, functional GGA-PBEsol.

abc: 4.519 4.519 4.519
angles: 60.00 60.00 60.00
Atoms (fractional coordinates):
Au1 0.750 0.750 0.750
Pt1 0.500 0.500 0.500
Au2 0.250 0.250 0.250
Ag1 0.000 0.000 0.000

Electronic total energy in eV/atom: -4.50
V in Å³/atom: 16.31
Space group: Fm-3m, No. 225



Record 4
An optimized crystal structure of AgPtAu2. Source: Alexandria, functional GGA-PBEsol.

abc: 2.841 4.790 5.562
angles: 115.50 104.80 90.00
Atoms (fractional coordinates):
Au1 0.753 0.253 0.506
Ag1 0.247 0.747 0.495
Au2 0.001 0.001 0.002
Pt1 0.499 0.499 0.997

Electronic total energy in eV/atom: -4.51
V in Å³/atom: 16.38
Space group: Imm2, No. 44



Fermi-level density of states per entry: 1.25 1.48 1.19 1.68 states/eV per cell